Entry 1:
## Li2MgTc (PBE)

Data for a relaxed structure of Li2MgTc.

Results
DFT formation energy (eV/atom): 0.219
Electronic total energy (eV for the cell shown): -14.91

Cell and atoms, written as POSCAR:
```
Li2MgTc
1.0
-0.5629 2.0698 1.5930
-1.8769 -1.8783 0.2968
5.1798 -4.0542 7.0983
Mg Li Tc
1 2 1
Cartesian
0.0751 -0.9178 2.7195
5.0738 -3.9712 6.9530
2.6960 -2.1101 3.6945
2.6650 -2.9449 6.2686
```

=====

Entry 2:
## PuURu3 (PBE)

Data for a relaxed structure of PuURu3.

Results
DFT formation energy (eV/atom): -0.072
Electronic total energy (eV for the cell shown): -215.23
Excess energy over the best structure of this formula in the dataset (meV/atom): 37.5

Cell and atoms, written as POSCAR:
```
PuURu3
1.0
5.8369 0.0000 0.0000
0.0000 8.7582 -1.2280
0.0000 -5.5211 8.2200
Pu Ru U
4 12 4
Cartesian
1.0968 7.5121 -0.4757
4.0152 2.8647 2.7437
1.8217 0.3724 4.2483
4.7401 -4.2749 7.4677
1.0895 3.0821 2.9252
3.9697 3.6725 -0.0440
5.7816 2.3816 5.3181
1.0512 -2.0539 3.5401
2.9737 0.7630 1.8221
1.8672 -0.4354 7.0361
1.8290 -4.0575 7.6492
0.0553 0.8556 1.6739
4.7856 5.2911 3.4520
4.7474 0.1551 4.0668
2.8632 2.4741 5.1700
4.0079 7.2947 -0.6572
4.8070 -0.7621 6.1676
1.0299 3.9992 0.8245
1.8886 -3.1404 5.5485
3.9483 6.3776 1.4436
```